[1]
This record from the Alexandria database describes an optimized crystal structure of Ac3Ga3Au8. The functional is GGA-PBE.

Cell and atoms, written as POSCAR:
```
Ac3Ga3Au8
1.0
4.5731 0.0000 1.2062
1.4291 7.9271 3.8538
0.0944 0.1454 8.9140
Ac Au Ga
3 8 3
Direct
0.7045 0.2706 0.3205 Ac
0.2955 0.7294 0.6795 Ac
0.0000 0.0000 0.0000 Ac
0.8573 0.4292 0.8562 Au
0.8798 0.8338 0.4067 Au
0.5116 0.6689 0.3079 Au
0.1427 0.5708 0.1438 Au
0.1202 0.1662 0.5933 Au
0.3560 0.0287 0.2593 Au
0.4884 0.3311 0.6921 Au
0.6440 0.9713 0.7407 Au
0.0000 0.5000 0.5000 Ga
0.6693 0.6713 0.9901 Ga
0.3307 0.3287 0.0099 Ga
```

Space group: C2/m
Energy relative to the elements in eV/atom: -0.67


[2]
This record from the Alexandria database describes an optimized crystal structure of Ac3GaAu2. The functional is GGA-PBE.

Cell and atoms, written as POSCAR:
```
Ac3GaAu2
1.0
3.9166 0.0000 0.0000
0.0000 3.9166 0.0000
0.0000 0.0000 11.7314
Ac Ga Au
3 1 2
Direct
0.0000 0.0000 0.0000 Ac
0.0000 0.0000 0.3341 Ac
0.0000 0.0000 0.6659 Ac
0.5000 0.5000 0.5000 Ga
0.5000 0.5000 0.1679 Au
0.5000 0.5000 0.8321 Au
```

Space group: P4/mmm
Energy relative to the elements in eV/atom: -0.67


[3]
This record from the Alexandria database describes an optimized crystal structure of Ac4Ga3Au. The functional is GGA-PBE.

Cell and atoms, written as POSCAR:
```
Ac4Ga3Au
1.0
-2.3508 2.6482 -3.0841
-3.8774 -1.6495 1.5391
-0.5634 8.6762 7.8792
Ga Au Ac
3 1 4
Direct
0.0000 0.0000 0.4320 Ga
0.5000 0.0000 0.9292 Ga
0.0000 0.5000 0.5668 Ga
0.5000 0.5000 0.0735 Au
0.5000 0.5000 0.3582 Ac
0.0000 0.5000 0.8581 Ac
0.0000 0.0000 0.1401 Ac
0.5000 0.0000 0.6422 Ac
```

Space group: Pmm2
Energy relative to the elements in eV/atom: -0.56